Entry 1:
20
Lattice="-3.8833 4.7091 3.3728 -2.7937 -1.2595 -6.2642 0.2026 -5.9159 3.6868" Properties=species:S:1:pos:R:3 comment="AcAg4Au3O12, optimized geometry, DFT PBE" vol_a3_per_atom=13.1 spacegroup="Im-3 (204)" raw_formation_energy_ev_per_fu=-9.03 pbc="T T T"
O -2.6524 0.8607 0.2702
O -2.8907 -4.4079 -2.2606
O -3.4983 -0.4533 -3.6753
O -5.2315 2.1932 -0.8467
O -3.8219 -3.3269 0.5252
O -1.8898 -1.6362 -1.2650
O -1.5543 -1.5468 1.7437
O -4.9200 -0.9194 -0.9483
O -3.5836 1.9417 3.0560
O -1.2428 -4.6595 1.6421
O -2.9760 -2.0129 4.4707
O -4.5845 -0.8300 2.0604
Au -3.3385 1.7248 -1.4457
Au -1.2955 -3.5877 -1.2887
Au -1.8403 -0.6034 3.5298
Ag -1.3968 -0.6297 -3.1321
Ag 0.1013 -2.9579 1.8434
Ag -3.2371 -1.2331 0.3977
Ag -1.9416 2.3546 1.6864
Ac 0.0000 0.0000 0.0000


Entry 2:
10
Lattice="6.2417 0.0578 0.8212 3.1127 5.3739 0.6042 4.2090 0.3784 6.6336" Properties=species:S:1:pos:R:3 comment="Cu2SeS2, optimized geometry, DFT PBE" vol_a3_per_atom=20.2 spacegroup="P-1 (2)" raw_formation_energy_ev_per_fu=-0.07 pbc="T T T"
Cu 6.7054 1.7429 2.1485
Cu 10.6667 4.1156 5.4767
Cu 2.8967 1.6945 2.5823
Cu 6.8580 4.0672 5.9105
Se 8.0906 3.7965 2.5328
Se 5.4728 2.0136 5.5262
S 4.6891 1.7821 1.1994
S 6.4538 4.8766 3.8245
S 7.1096 0.9335 4.2345
S 8.8743 4.0280 6.8596


Entry 3:
5
Lattice="4.4358 0.0000 0.0000 0.0000 4.4358 0.0000 0.0000 0.0000 6.6184" Properties=species:S:1:pos:R:3 comment="TlHgIO2, optimized geometry, DFT PBE" vol_a3_per_atom=26.0 spacegroup="P4/mmm (123)" polymorph_energy_kcal_per_mol_atoms=2.71 raw_formation_energy_ev_per_fu=1.17 pbc="T T T"
Hg 0.0000 0.0000 0.0000
I 0.0000 0.0000 3.3092
Tl 2.2179 2.2179 3.3092
O 0.0000 2.2179 0.0000
O 2.2179 0.0000 0.0000


Entry 4:
12
Lattice="7.3952 -0.0021 -0.0014 -3.6976 6.4044 -0.0014 -1.2349 -2.1383 7.1713" Properties=species:S:1:pos:R:3 comment="Sr3Th2ZrAs6, optimized geometry, DFT PBE" vol_a3_per_atom=28.3 spacegroup="C2/m (12)" formation_energy_ev_per_atom=-1.27 pbc="T T T"
As 3.6442 2.2213 5.5819
As -0.0569 -0.0985 5.5792
As 0.1029 4.2666 5.5819
As -1.1815 2.0428 1.5866
As 2.3598 -0.0025 1.5866
As 2.5196 4.3626 1.5893
Sr -2.4431 4.2542 3.5843
Sr 4.9058 0.0099 3.5843
Sr 1.2313 2.1320 3.5843
Th 0.0047 4.2662 -0.0014
Th 3.6929 2.1362 -0.0014
Zr 0.0000 0.0000 0.0000


Record-wise size of the total moment values, in μB per cell: 0.000; 0.000; 1.115; 0.000
Record-wise final energy values, in eV for the cell shown: -93.9; -40.0; -13.0; -71.6